A plane-wave DFT calculation with GGA-PBE was carried out for Sm4Dy2Y2Tm after structural relaxation.

Values from the calculation:
total magnetization	0.00	μB per cell
E_form	0.020	eV/atom
D(E_F)	25.8	states/eV/cell

Cell lengths 15.1944, 5.0646, 8.0105 Å; angles 90.00, 108.47, 90.00 degrees
Closest atoms and distances in Å follow each position.
Space group C2/m (No. 12)
Unique sites:
Sm 0.0550 0.0000 0.3307 [4 per cell]  2 Dy 3.56-3.57, 2 Tm 3.57, 4 Y 3.58-3.61, 4 Sm 3.58-3.61
Sm 0.2220 0.5000 0.3320 [4 per cell]  1 Tm 3.57, 3 Dy 3.57-3.58, 3 Y 3.58-3.60, 5 Sm 3.58-3.60
Dy 0.1663 0.0000 0.0001 [4 per cell]  5 Sm 3.56-3.58, 3 Y 3.57, 2 Tm 3.58, 2 Dy 3.59
Y 0.1115 0.5000 0.6692 [4 per cell]  3 Dy 3.57, 1 Tm 3.57, 7 Sm 3.58-3.61, 1 Y 3.61
Tm 0.0000 0.5000 0.0000 [2 per cell]  6 Sm 3.57, 2 Y 3.57, 4 Dy 3.58